VASP calculation (PBE) on crystalline Li2TmZn2Ag2 at its relaxed geometry.

Cell and atoms, written as extended XYZ:
```
14
Lattice="7.908 0.000 0.000 0.000 4.548 0.000 -2.654 0.000 7.167" Properties=species:S:1:pos:R:3 pbc="T T T"
Li -0.003 0.000 3.066
Li 1.303 2.274 4.101
Li 3.951 2.274 3.066
Li 5.257 0.000 4.101
Tm 0.000 0.000 0.000
Tm 3.954 2.274 0.000
Zn -1.342 2.274 5.276
Zn 2.643 0.000 1.891
Zn 2.612 0.000 5.276
Zn 6.597 2.274 1.891
Ag 1.320 2.274 1.508
Ag -0.020 0.000 5.659
Ag 5.274 0.000 1.508
Ag 3.934 2.274 5.659
```

Properties
The formation energy is -0.21 eV/atom. The calculation puts the total energy at -18.0 eV per formula unit.